(1)
Material: Zn2Mo2N
Method: DFT, PBE-GGA
State: relaxed

POSCAR file:
```
Zn2Mo2N
1.0
5.539 0.000 0.000
0.000 5.539 0.000
0.000 0.000 4.672
Zn Mo N
4 4 2
Cartesian
0.869 1.901 0.000 Zn
1.901 4.670 0.000 Zn
3.638 0.869 0.000 Zn
4.670 3.638 0.000 Zn
0.948 3.718 2.336 Mo
1.821 0.948 2.336 Mo
3.718 4.591 2.336 Mo
4.591 1.821 2.336 Mo
0.000 0.000 2.336 N
2.770 2.770 2.336 N
```

Results
Total magnetic moment = 0.00 μB per formula unit
Uncorrected formation energy = -14 meV/atom
D(E_F) = 0.54 states/eV/atom
VASP energy = -6.521 eV per atom


(2)
Material: Na2NiSb
Method: DFT, PBE-GGA
State: relaxed

POSCAR file:
```
Na2NiSb
1.0
-5.578 5.578 2.337
5.578 -5.578 2.337
5.578 5.578 -2.337
Na Ni Sb
4 2 2
Cartesian
0.106 2.789 0.584 Na
-2.789 5.472 1.753 Na
-0.106 8.367 0.584 Na
2.789 5.683 1.753 Na
0.000 0.000 0.000 Ni
0.000 5.578 1.169 Ni
5.578 0.000 1.169 Sb
0.000 0.000 2.337 Sb
```

Results
Total magnetic moment = 0.00 μB per formula unit
Uncorrected formation energy = -16 meV/atom
D(E_F) = 0.75 states/eV/atom
VASP energy = -3.151 eV per atom


(3)
Material: CaSc3Ag
Method: DFT, PBE-GGA
State: relaxed

POSCAR file:
```
CaSc3Ag
1.0
5.116 0.000 0.000
0.000 5.116 0.000
0.000 0.000 5.116
Ca Sc Ag
1 3 1
Cartesian
0.000 0.000 0.000 Ca
0.000 0.000 2.558 Sc
0.000 2.558 0.000 Sc
2.558 0.000 0.000 Sc
2.558 2.558 2.558 Ag
```

Results
Total magnetic moment = 0.00 μB per formula unit
Energy relative to the elements = 1.20 eV per atom
D(E_F) = 0.79 states/eV/atom
VASP energy = -3.571 eV per atom


(4)
Material: KHoO2
Method: DFT, PBE-GGA
State: relaxed

POSCAR file:
```
KHoO2
1.0
1.723 0.995 6.377
-1.723 0.995 6.377
0.000 -1.990 6.377
K Ho O
1 1 2
Cartesian
0.000 0.000 0.000 K
0.000 0.000 3.258 Ho
0.000 0.000 10.821 O
0.000 0.000 14.863 O
```

Results
Total magnetic moment = 0.00 μB per formula unit
Uncorrected formation energy = -2745 meV/atom
D(E_F) = 0.00 states/eV/atom
VASP energy = -6.643 eV per atom